1.
The following is a PBE calculation of crystalline Nd2ErAu at its relaxed geometry, from Alexandria via LeMat-Bulk.

Summary:
Its theoretical density is 8.70 g/cm³. The raw total energy is -18.59 eV/cell. As for the energy above the most stable polymorph in this dataset: 34 meV per atom. Its energy relative to the elements is -0.30 eV/atom. As for the density of states at the Fermi level: 4.7 states/eV/cell. Its spin magnetization is 0.002 μB/cell.

Cell and atoms, written as CIF:
```
data_Nd2ErAu
_chemical_formula_sum 'Nd2 Er1 Au1'
_symmetry_space_group_name_H-M 'P 3 m 1'
_symmetry_Int_Tables_number 156
_cell_length_a 3.7701
_cell_length_b 3.7701
_cell_length_c 10.1174
_cell_angle_alpha 90.00
_cell_angle_beta 90.00
_cell_angle_gamma 120.00
loop_
_symmetry_equiv_pos_as_xyz
'x,y,z'
'-y,x-y,z'
'-x+y,-x,z'
'-y,-x,z'
'-x+y,y,z'
'x,x-y,z'
loop_
_atom_site_label
_atom_site_type_symbol
_atom_site_fract_x
_atom_site_fract_y
_atom_site_fract_z
Nd1 Nd 0.0000 0.0000 0.0000
Nd2 Nd 0.3333 0.6667 0.7021
Er1 Er 0.3333 0.6667 0.2925
Au1 Au 0.6667 0.3333 0.4844
```

2.
The following is a PBE calculation of crystalline NdErAu at its relaxed geometry, from Alexandria via LeMat-Bulk.

Summary:
Its theoretical density is 9.87 g/cm³. The raw total energy is -57.28 eV/cell. As for the energy above the most stable polymorph in this dataset: 20 meV per atom. Its energy relative to the elements is -0.57 eV/atom. As for the density of states at the Fermi level: 16.1 states/eV/cell. Its spin magnetization is 0.000 μB/cell.

Cell and atoms, written as CIF:
```
data_NdErAu
_chemical_formula_sum 'Nd4 Er4 Au4'
_symmetry_space_group_name_H-M 'P 1 21/c 1'
_symmetry_Int_Tables_number 14
_cell_length_a 7.3122
_cell_length_b 6.8422
_cell_length_c 6.8385
_cell_angle_alpha 90.00
_cell_angle_beta 90.07
_cell_angle_gamma 90.00
loop_
_symmetry_equiv_pos_as_xyz
'x,y,z'
'-x,-y,-z'
'-x,y+1/2,-z+1/2'
'x,-y+1/2,z+1/2'
loop_
_atom_site_label
_atom_site_type_symbol
_atom_site_fract_x
_atom_site_fract_y
_atom_site_fract_z
Nd1 Nd 0.1223 0.0104 0.2500
Er1 Er 0.4932 0.7501 0.0000
Au1 Au 0.2757 0.0053 0.7495
```

3.
The following is a PBE calculation of crystalline NdErAu2 at its relaxed geometry, from Alexandria via LeMat-Bulk.

Summary:
Its theoretical density is 11.72 g/cm³. The raw total energy is -38.45 eV/cell. Its energy relative to the elements is -0.83 eV/atom. As for the density of states at the Fermi level: 4.9 states/eV/cell. Its spin magnetization is 0.000 μB/cell.

Cell and atoms, written as CIF:
```
data_NdErAu2
_chemical_formula_sum 'Nd2 Er2 Au4'
_symmetry_space_group_name_H-M 'A m m 2'
_symmetry_Int_Tables_number 38
_cell_length_a 4.7359
_cell_length_b 3.7878
_cell_length_c 11.1457
_cell_angle_alpha 90.00
_cell_angle_beta 90.00
_cell_angle_gamma 90.00
loop_
_symmetry_equiv_pos_as_xyz
'x,y,z'
'-x,-y,z'
'-x,y,z'
'x,-y,z'
'x,y+1/2,z+1/2'
'-x,-y+1/2,z+1/2'
'-x,y+1/2,z+1/2'
'x,-y+1/2,z+1/2'
loop_
_atom_site_label
_atom_site_type_symbol
_atom_site_fract_x
_atom_site_fract_y
_atom_site_fract_z
Nd1 Nd 0.0000 0.0000 0.0000
Er1 Er 0.5000 0.0000 0.7231
Au1 Au 0.0000 0.0000 0.2714
Au2 Au 0.5000 0.0000 0.4463
```

4.
The following is a PBE calculation of crystalline Nd3ErAu3 at its relaxed geometry, from Alexandria via LeMat-Bulk.

Summary:
Its theoretical density is 10.09 g/cm³. The raw total energy is -131.67 eV/cell. Its energy relative to the elements is -0.60 eV/atom. As for the density of states at the Fermi level: 21.4 states/eV/cell. Its spin magnetization is 0.000 μB/cell.

Cell and atoms, written as CIF:
```
data_Nd3ErAu3
_chemical_formula_sum 'Nd12 Er4 Au12'
_symmetry_space_group_name_H-M 'C 1 2/m 1'
_symmetry_Int_Tables_number 12
_cell_length_a 9.7792
_cell_length_b 10.9070
_cell_length_c 7.3520
_cell_angle_alpha 90.00
_cell_angle_beta 91.53
_cell_angle_gamma 90.00
loop_
_symmetry_equiv_pos_as_xyz
'x,y,z'
'-x,-y,-z'
'-x,y,-z'
'x,-y,z'
'x+1/2,y+1/2,z'
'-x+1/2,-y+1/2,-z'
'-x+1/2,y+1/2,-z'
'x+1/2,-y+1/2,z'
loop_
_atom_site_label
_atom_site_type_symbol
_atom_site_fract_x
_atom_site_fract_y
_atom_site_fract_z
Nd1 Nd 0.0000 0.1784 0.0000
Nd2 Nd 0.0000 0.2611 0.5000
Nd3 Nd 0.1571 0.5000 0.8840
Er1 Er 0.2474 0.5000 0.3838
Au1 Au 0.0625 0.0000 0.3141
Au2 Au 0.2401 0.2651 0.2220
```

5.
The following is a PBE calculation of crystalline NdErAu4 at its relaxed geometry, from Alexandria via LeMat-Bulk.

Summary:
Its theoretical density is 13.84 g/cm³. The raw total energy is -27.35 eV/cell. Its energy relative to the elements is -0.82 eV/atom. As for the density of states at the Fermi level: 2.6 states/eV/cell. Its spin magnetization is 0.000 μB/cell.

Cell and atoms, written as CIF:
```
data_NdErAu4
_chemical_formula_sum 'Nd1 Er1 Au4'
_symmetry_space_group_name_H-M 'P -1'
_symmetry_Int_Tables_number 2
_cell_length_a 3.7852
_cell_length_b 5.2800
_cell_length_c 7.5985
_cell_angle_alpha 69.92
_cell_angle_beta 75.68
_cell_angle_gamma 69.17
loop_
_symmetry_equiv_pos_as_xyz
'x,y,z'
'-x,-y,-z'
loop_
_atom_site_label
_atom_site_type_symbol
_atom_site_fract_x
_atom_site_fract_y
_atom_site_fract_z
Nd1 Nd 0.0000 0.0000 0.0000
Er1 Er 0.0000 0.5000 0.5000
Au1 Au 0.3340 0.9916 0.3416
Au2 Au 0.3390 0.5076 0.8168
```

6.
The following is a PBE calculation of crystalline NdErAu at its relaxed geometry, from Alexandria via LeMat-Bulk.

Summary:
Its theoretical density is 10.20 g/cm³. The raw total energy is -28.35 eV/cell. As for the energy above the most stable polymorph in this dataset: 68 meV per atom. Its energy relative to the elements is -0.52 eV/atom. As for the density of states at the Fermi level: 8.0 states/eV/cell. Its spin magnetization is 1.344 μB/cell.

Cell and atoms, written as CIF:
```
data_NdErAu
_chemical_formula_sum 'Nd2 Er2 Au2'
_symmetry_space_group_name_H-M 'I 4 m m'
_symmetry_Int_Tables_number 107
_symmetry_space_group_name_Hall 'I 4 -2'
_cell_length_a 3.6295
_cell_length_b 3.6295
_cell_length_c 12.5689
_cell_angle_alpha 90.00
_cell_angle_beta 90.00
_cell_angle_gamma 90.00
loop_
_atom_site_label
_atom_site_type_symbol
_atom_site_fract_x
_atom_site_fract_y
_atom_site_fract_z
Nd1 Nd 0.0000 0.0000 0.0000
Er1 Er 0.0000 0.0000 0.2886
Au1 Au 0.0000 0.0000 0.6646
```